The following is a DFT calculation (GGA+U) of a relaxed K4Ac3VO8 crystal.

Geometry as POSCAR:
```
K4Ac3VO8
1.0
6.4832 -3.6710 0.0000
6.4832 3.6710 0.0000
-4.2582 0.0000 6.3411
K Ac V O
4 3 1 8
Cartesian
0.0000 0.0000 0.0000
3.2416 1.8355 0.0000
3.2416 -1.8355 0.0000
6.4832 0.0000 0.0000
-2.1291 0.0000 3.1706
1.1125 1.8355 3.1706
1.1125 -1.8355 3.1706
4.3541 0.0000 3.1706
0.0010 0.0000 4.4487
2.0888 0.0000 1.8011
3.4277 1.5608 4.2725
5.2805 1.5608 2.0686
3.4277 -1.5608 4.2725
5.2805 -1.5608 2.0686
6.6194 0.0000 4.5400
8.7073 0.0000 1.8924
```

Its spin magnetization is 0.1250 μB/atom. Its symmetry is C2/m. The calculation puts the total energy at -6.27 eV/atom. For the theoretical density, the calculation gives 5.59 Mg/m³.